No. 1
Pm8NiIr3Br4 | PBE | optimized geometry

a = 8.2394 Å, b = 8.2394 Å, c = 23.2123 Å
α = 90.00°, β = 90.00°, γ = 120.00°
With the nearest neighbours (Å) after each atom.
Space group R-3m (No. 166, hexagonal axes)
Symmetry-distinct sites (fractional):
Pm 0.0000 0.0000 0.2322 x6  3 Ir 2.82
Pm 0.0021 0.5011 0.2311 x18  1 Ni 2.80, 2 Ir 2.82
Ni 0.0000 0.0000 0.5000 x3  6 Pm 2.80
Ir 0.0000 0.5000 0.5000 x9  6 Pm 2.82
Br 0.0000 0.0000 0.0000 x3  6 Pm 3.37
Br 0.0000 0.5000 0.0000 x9  6 Pm 3.34-3.35

Output
The value obtained for the uncorrected formation energy is -1.0381 eV/atom. The electronic total energy comes out at -5.854 eV/atom.

---

No. 2
Pa3CrIn3Se8 | PBE | optimized geometry

a = 8.0772 Å, b = 8.0772 Å, c = 23.8245 Å
α = 90.00°, β = 90.00°, γ = 120.00°
With the nearest neighbours (Å) after each atom.
Space group R-3m (No. 166, hexagonal axes)
Symmetry-distinct sites (fractional):
Pa 0.0000 0.5000 0.0000 x9  6 Se 2.86-2.89
Cr 0.0000 0.0000 0.0000 x3  6 Se 2.74
In 0.0000 0.5000 0.5000 x9  6 Se 3.25-3.30
Se 0.0000 0.0000 0.2618 x6  3 Pa 2.89
Se 0.0136 0.5068 0.7333 x18  1 Cr 2.74, 2 Pa 2.86

Output
The value obtained for the uncorrected formation energy is -0.8525 eV/atom. The electronic total energy comes out at -5.799 eV/atom.

---

No. 3
AlSiPb2 | PBE | optimized geometry

a = 4.2617 Å, b = 4.7038 Å, c = 4.9069 Å
α = 90.00°, β = 90.00°, γ = 90.00°
With the nearest neighbours (Å) after each atom.
Space group Pmmm (No. 47)
Symmetry-distinct sites (fractional):
Al 0.0000 0.0000 0.0000 x1  8 Pb 3.17-3.25, 4 Si 3.40
Si 0.0000 0.5000 0.5000 x1  8 Pb 3.17-3.25, 4 Al 3.40
Pb 0.5000 0.0000 0.5000 x1  4 Si 3.17, 4 Al 3.25, 4 Pb 3.40
Pb 0.5000 0.5000 0.0000 x1  4 Al 3.17, 4 Si 3.25, 4 Pb 3.40

Output
The value obtained for the uncorrected formation energy is 0.4323 eV/atom. The electronic total energy comes out at -3.713 eV/atom.

---

No. 4
HfTlTe3 | PBE | optimized geometry

a = 18.0041 Å, b = 3.9695 Å, c = 10.3905 Å
α = 90.00°, β = 99.83°, γ = 90.00°
With the nearest neighbours (Å) after each atom.
Space group C2/m (No. 12)
Symmetry-distinct sites (fractional):
Hf 0.2045 0.0000 0.3386 x4  6 Te 2.82-2.94
Tl 0.1087 0.5000 0.9648 x4  5 Te 3.30-3.59
Te 0.0585 0.0000 0.1887 x4  1 Hf 2.82
Te 0.1449 0.5000 0.4984 x4  3 Hf 2.91-2.94
Te 0.2357 0.0000 0.8135 x4  2 Hf 2.86

Output
The value obtained for the uncorrected formation energy is -0.5256 eV/atom. The electronic total energy comes out at -4.875 eV/atom. As for the energy above the most stable polymorph in this dataset: 0.000 eV per formula unit.